Pm3Gd: relaxed, PBE.

The structure in CIF format:
```
data_Pm3Gd
_chemical_formula_sum 'Pm3 Gd1'
_symmetry_space_group_name_H-M 'P m m 2'
_symmetry_Int_Tables_number 25
_cell_length_a 3.678
_cell_length_b 5.866
_cell_length_c 6.369
_cell_angle_alpha 90.00
_cell_angle_beta 90.00
_cell_angle_gamma 90.00
loop_
_symmetry_equiv_pos_as_xyz
'x,y,z'
'-x,-y,z'
'-x,y,z'
'x,-y,z'
loop_
_atom_site_label
_atom_site_type_symbol
_atom_site_fract_x
_atom_site_fract_y
_atom_site_fract_z
Pm1 Pm 0.000 0.000 0.000
Pm2 Pm 0.000 0.500 0.332
Pm3 Pm 0.500 0.500 0.833
Gd1 Gd 0.500 0.000 0.500
```

Properties
- M_tot: 7.69 μB/cell
- DFT total energy: -7.061 eV per atom
- Energy of formation from the pure elements: 0.1 eV per formula unit

Pm3Gd: relaxed, PBE.

The structure in CIF format:
```
data_Pm3Gd
_chemical_formula_sum 'Pm3 Gd1'
_symmetry_space_group_name_H-M 'P m -3 m'
_symmetry_Int_Tables_number 221
_symmetry_space_group_name_Hall '-P 4 2 3'
_cell_length_a 5.138
_cell_length_b 5.138
_cell_length_c 5.138
_cell_angle_alpha 90.00
_cell_angle_beta 90.00
_cell_angle_gamma 90.00
loop_
_atom_site_label
_atom_site_type_symbol
_atom_site_fract_x
_atom_site_fract_y
_atom_site_fract_z
Pm1 Pm 0.000 0.000 0.500
Gd1 Gd 0.500 0.500 0.500
```

Properties
- M_tot: 7.28 μB/cell
- DFT total energy: -7.072 eV per atom
- Energy of formation from the pure elements: 0.0 eV per formula unit

PmGd3: relaxed, PBE.

The structure in CIF format:
```
data_PmGd3
_chemical_formula_sum 'Pm4 Gd12'
_symmetry_space_group_name_H-M 'F m -3 m'
_symmetry_Int_Tables_number 225
_symmetry_space_group_name_Hall '-F 4 2 3'
_cell_length_a 8.098
_cell_length_b 8.098
_cell_length_c 8.098
_cell_angle_alpha 90.00
_cell_angle_beta 90.00
_cell_angle_gamma 90.00
loop_
_atom_site_label
_atom_site_type_symbol
_atom_site_fract_x
_atom_site_fract_y
_atom_site_fract_z
Pm1 Pm 0.000 0.000 0.000
Gd1 Gd 0.000 0.000 0.500
Gd2 Gd 0.250 0.250 0.250
```

Properties
- M_tot: 35.16 μB/cell
- DFT total energy: -11.646 eV per atom
- Energy of formation from the pure elements: 0.4 eV per formula unit

PmGd3: relaxed, PBE.

The structure in CIF format:
```
data_PmGd3
_chemical_formula_sum 'Pm2 Gd6'
_symmetry_space_group_name_H-M 'I m m 2'
_symmetry_Int_Tables_number 44
_cell_length_a 3.636
_cell_length_b 11.597
_cell_length_c 6.298
_cell_angle_alpha 90.00
_cell_angle_beta 90.00
_cell_angle_gamma 90.00
loop_
_symmetry_equiv_pos_as_xyz
'x,y,z'
'-x,-y,z'
'-x,y,z'
'x,-y,z'
'x+1/2,y+1/2,z+1/2'
'-x+1/2,-y+1/2,z+1/2'
'-x+1/2,y+1/2,z+1/2'
'x+1/2,-y+1/2,z+1/2'
loop_
_atom_site_label
_atom_site_type_symbol
_atom_site_fract_x
_atom_site_fract_y
_atom_site_fract_z
Pm1 Pm 0.000 0.000 0.000
Gd1 Gd 0.000 0.250 0.668
Gd2 Gd 0.000 0.500 0.001
```

Properties
- M_tot: 14.81 μB/cell
- DFT total energy: -11.746 eV per atom
- Energy of formation from the pure elements: 0.0 eV per formula unit

Pm6Gd: relaxed, PBE.

The structure in CIF format:
```
data_Pm6Gd
_chemical_formula_sum 'Pm12 Gd2'
_symmetry_space_group_name_H-M 'I m -3 m'
_symmetry_Int_Tables_number 229
_symmetry_space_group_name_Hall '-I 4 2 3'
_cell_length_a 8.165
_cell_length_b 8.165
_cell_length_c 8.165
_cell_angle_alpha 90.00
_cell_angle_beta 90.00
_cell_angle_gamma 90.00
loop_
_atom_site_label
_atom_site_type_symbol
_atom_site_fract_x
_atom_site_fract_y
_atom_site_fract_z
Pm1 Pm 0.000 0.250 0.500
Gd1 Gd 0.000 0.000 0.000
```

Properties
- M_tot: 13.26 μB/cell
- DFT total energy: -4.863 eV per atom
- Energy of formation from the pure elements: 8.5 eV per formula unit

PmGd3: relaxed, PBE.

The structure in CIF format:
```
data_PmGd3
_chemical_formula_sum 'Pm1 Gd3'
_symmetry_space_group_name_H-M 'P m -3 m'
_symmetry_Int_Tables_number 221
_symmetry_space_group_name_Hall '-P 4 2 3'
_cell_length_a 5.083
_cell_length_b 5.083
_cell_length_c 5.083
_cell_angle_alpha 90.00
_cell_angle_beta 90.00
_cell_angle_gamma 90.00
loop_
_atom_site_label
_atom_site_type_symbol
_atom_site_fract_x
_atom_site_fract_y
_atom_site_fract_z
Pm1 Pm 0.000 0.000 0.000
Gd1 Gd 0.000 0.500 0.500
```

Properties
- M_tot: 21.96 μB/cell
- DFT total energy: -11.720 eV per atom
- Energy of formation from the pure elements: 0.1 eV per formula unit

PmGd: relaxed, PBE.

The structure in CIF format:
```
data_PmGd
_chemical_formula_sum 'Pm1 Gd1'
_symmetry_space_group_name_H-M 'P m -3 m'
_symmetry_Int_Tables_number 221
_symmetry_space_group_name_Hall '-P 4 2 3'
_cell_length_a 4.064
_cell_length_b 4.064
_cell_length_c 4.064
_cell_angle_alpha 90.00
_cell_angle_beta 90.00
_cell_angle_gamma 90.00
loop_
_atom_site_label
_atom_site_type_symbol
_atom_site_fract_x
_atom_site_fract_y
_atom_site_fract_z
Pm1 Pm 0.000 0.000 0.000
Gd1 Gd 0.500 0.500 0.500
```

Properties
- M_tot: 8.09 μB/cell
- DFT total energy: -9.324 eV per atom
- Energy of formation from the pure elements: 0.2 eV per formula unit

PmPrGd: relaxed, PBE.

The structure in CIF format:
```
data_PmPrGd
_chemical_formula_sum 'Pm1 Pr1 Gd1'
_symmetry_space_group_name_H-M 'P 3 m 1'
_symmetry_Int_Tables_number 156
_cell_length_a 3.6570
_cell_length_b 3.6570
_cell_length_c 8.9137
_cell_angle_alpha 90.00
_cell_angle_beta 90.00
_cell_angle_gamma 120.00
loop_
_symmetry_equiv_pos_as_xyz
'x,y,z'
'-y,x-y,z'
'-x+y,-x,z'
'-y,-x,z'
'-x+y,y,z'
'x,x-y,z'
loop_
_atom_site_label
_atom_site_type_symbol
_atom_site_fract_x
_atom_site_fract_y
_atom_site_fract_z
Pm1 Pm 0.0000 0.0000 0.0000
Pr1 Pr 0.6667 0.3333 0.3380
Gd1 Gd 0.3333 0.6667 0.6716
```

Properties
- M_tot: 7.37 μB/cell
- DFT total energy: -7.854 eV per atom
- Energy of formation from the pure elements: 0.0 eV per formula unit

Pm2PrGd: relaxed, PBE.

The structure in CIF format:
```
data_Pm2PrGd
_chemical_formula_sum 'Pm6 Pr3 Gd3'
_symmetry_space_group_name_H-M 'R -3 m'
_symmetry_Int_Tables_number 166
_symmetry_space_group_name_Hall '-R 3 2"'
_cell_length_a 3.5560
_cell_length_b 3.5560
_cell_length_c 38.0638
_cell_angle_alpha 90.00
_cell_angle_beta 90.00
_cell_angle_gamma 120.00
loop_
_atom_site_label
_atom_site_type_symbol
_atom_site_fract_x
_atom_site_fract_y
_atom_site_fract_z
Pm1 Pm 0.0000 0.0000 0.0901
Pr1 Pr 0.0000 0.0000 0.0000
Gd1 Gd 0.0000 0.0000 0.5000
```

Properties
- M_tot: 21.34 μB/cell
- DFT total energy: -6.941 eV per atom
- Energy of formation from the pure elements: 0.6 eV per formula unit

PmPrGd2: relaxed, PBE.

The structure in CIF format:
```
data_PmPrGd2
_chemical_formula_sum 'Pm1 Pr1 Gd2'
_symmetry_space_group_name_H-M 'P 4/m m m'
_symmetry_Int_Tables_number 123
_symmetry_space_group_name_Hall '-P 4 2'
_cell_length_a 5.139
_cell_length_b 5.139
_cell_length_c 5.123
_cell_angle_alpha 90.00
_cell_angle_beta 90.00
_cell_angle_gamma 90.00
loop_
_atom_site_label
_atom_site_type_symbol
_atom_site_fract_x
_atom_site_fract_y
_atom_site_fract_z
Pm1 Pm 0.000 0.000 0.000
Pr1 Pr 0.500 0.500 0.000
Gd1 Gd 0.000 0.500 0.500
```

Properties
- M_tot: 14.65 μB/cell
- DFT total energy: -9.407 eV per atom
- Energy of formation from the pure elements: 0.1 eV per formula unit

PmPrGd: relaxed, PBE.

The structure in CIF format:
```
data_PmPrGd
_chemical_formula_sum 'Pm2 Pr2 Gd2'
_symmetry_space_group_name_H-M 'I 4 m m'
_symmetry_Int_Tables_number 107
_symmetry_space_group_name_Hall 'I 4 -2'
_cell_length_a 3.672
_cell_length_b 3.672
_cell_length_c 15.312
_cell_angle_alpha 90.00
_cell_angle_beta 90.00
_cell_angle_gamma 90.00
loop_
_atom_site_label
_atom_site_type_symbol
_atom_site_fract_x
_atom_site_fract_y
_atom_site_fract_z
Pm1 Pm 0.000 0.000 0.000
Pr1 Pr 0.000 0.000 0.667
Gd1 Gd 0.000 0.000 0.335
```

Properties
- M_tot: 15.08 μB/cell
- DFT total energy: -7.857 eV per atom
- Energy of formation from the pure elements: 0.0 eV per formula unit

PmPrGd: relaxed, PBE.

The structure in CIF format:
```
data_PmPrGd
_chemical_formula_sum 'Pm2 Pr2 Gd2'
_symmetry_space_group_name_H-M 'I 4 m m'
_symmetry_Int_Tables_number 107
_symmetry_space_group_name_Hall 'I 4 -2'
_cell_length_a 4.272
_cell_length_b 4.272
_cell_length_c 11.352
_cell_angle_alpha 90.00
_cell_angle_beta 90.00
_cell_angle_gamma 90.00
loop_
_atom_site_label
_atom_site_type_symbol
_atom_site_fract_x
_atom_site_fract_y
_atom_site_fract_z
Pm1 Pm 0.000 0.000 0.000
Pr1 Pr 0.000 0.000 0.323
Gd1 Gd 0.000 0.000 0.658
```

Properties
- M_tot: 15.86 μB/cell
- DFT total energy: -7.771 eV per atom
- Energy of formation from the pure elements: 0.3 eV per formula unit

PmPrGd2: relaxed, PBE.

The structure in CIF format:
```
data_PmPrGd2
_chemical_formula_sum 'Pm1 Pr1 Gd2'
_symmetry_space_group_name_H-M 'P 4/m m m'
_symmetry_Int_Tables_number 123
_symmetry_space_group_name_Hall '-P 4 2'
_cell_length_a 3.638
_cell_length_b 3.638
_cell_length_c 10.239
_cell_angle_alpha 90.00
_cell_angle_beta 90.00
_cell_angle_gamma 90.00
loop_
_atom_site_label
_atom_site_type_symbol
_atom_site_fract_x
_atom_site_fract_y
_atom_site_fract_z
Pm1 Pm 0.000 0.000 0.000
Pr1 Pr 0.000 0.000 0.500
Gd1 Gd 0.500 0.500 0.248
```

Properties
- M_tot: 14.61 μB/cell
- DFT total energy: -9.404 eV per atom
- Energy of formation from the pure elements: 0.1 eV per formula unit

Pm2PrGd: relaxed, PBE.

The structure in CIF format:
```
data_Pm2PrGd
_chemical_formula_sum 'Pm2 Pr1 Gd1'
_symmetry_space_group_name_H-M 'P 4/m m m'
_symmetry_Int_Tables_number 123
_symmetry_space_group_name_Hall '-P 4 2'
_cell_length_a 3.658
_cell_length_b 3.658
_cell_length_c 10.297
_cell_angle_alpha 90.00
_cell_angle_beta 90.00
_cell_angle_gamma 90.00
loop_
_atom_site_label
_atom_site_type_symbol
_atom_site_fract_x
_atom_site_fract_y
_atom_site_fract_z
Pm1 Pm 0.000 0.000 0.246
Pr1 Pr 0.500 0.500 0.500
Gd1 Gd 0.500 0.500 0.000
```

Properties
- M_tot: 7.30 μB/cell
- DFT total energy: -7.072 eV per atom
- Energy of formation from the pure elements: 0.1 eV per formula unit

Pm4PrGd: relaxed, PBE.

The structure in CIF format:
```
data_Pm4PrGd
_chemical_formula_sum 'Pm16 Pr4 Gd4'
_symmetry_space_group_name_H-M 'F -4 3 m'
_symmetry_Int_Tables_number 216
_symmetry_space_group_name_Hall 'F -4 2 3'
_cell_length_a 9.506
_cell_length_b 9.506
_cell_length_c 9.506
_cell_angle_alpha 90.00
_cell_angle_beta 90.00
_cell_angle_gamma 90.00
loop_
_atom_site_label
_atom_site_type_symbol
_atom_site_fract_x
_atom_site_fract_y
_atom_site_fract_z
Pm1 Pm 0.125 0.125 0.125
Pr1 Pr 0.000 0.000 0.500
Gd1 Gd 0.250 0.250 0.750
```

Properties
- M_tot: 31.77 μB/cell
- DFT total energy: -6.070 eV per atom
- Energy of formation from the pure elements: 1.4 eV per formula unit